VASP calculation (GGA-PBE) on Ni15Ir2Pt2 after structural relaxation.

```
19
Lattice="6.011 -0.489 1.516 1.061 5.936 1.516 -0.634 -0.489 6.166" Properties=species:S:1:pos:R:3 pbc="T T T"
Ni 2.757 4.641 3.940
Ni 1.924 1.482 6.226
Ni 4.453 1.533 1.516
Ni 0.530 2.968 0.758
Ni 3.680 0.318 5.258
Ni 0.527 3.914 2.979
Ni 1.457 -0.489 4.703
Ni -0.101 1.533 4.703
Ni 1.246 3.477 5.258
Ni 2.619 3.914 1.516
Ni 3.005 -0.244 0.758
Ni 4.513 3.477 2.972
Ni 3.919 -0.489 2.979
Ni -0.317 -0.244 3.083
Ni 5.190 1.482 3.940
Ir 0.644 0.496 0.921
Ir 5.793 4.462 8.277
Pt 4.108 3.165 5.870
Pt 2.329 1.794 3.328
```

Calculated values
For the theoretical density, the calculation gives 11.792 Mg/m³. The value obtained for the final energy is -5.9830 eV per atom. The density of states at the Fermi level comes out at 28.23 states/eV/cell.



VASP calculation (GGA-PBE) on NiIr2Pt after structural relaxation.

```
4
Lattice="-4.219 0.183 2.017 0.746 -4.305 -1.677 1.108 -0.737 2.385" Properties=species:S:1:pos:R:3 pbc="T T T"
Pt 0.927 -2.521 0.354
Ni -1.555 -0.277 2.201
Ir -1.737 -2.061 0.170
Ir 0.000 0.000 0.000
```

Calculated values
The polymorph energy (0 for the lowest one) comes out at 9.4 kJ/mol of atoms. For the theoretical density, the calculation gives 18.798 Mg/m³. The value obtained for the final energy is -7.2955 eV per atom. The density of states at the Fermi level comes out at 5.63 states/eV/cell.



VASP calculation (GGA-PBE) on NiIr2Pt after structural relaxation.

```
8
Lattice="-0.800 3.586 0.531 -1.975 0.025 -3.144 -8.659 -0.490 3.243" Properties=species:S:1:pos:R:3 pbc="T T T"
Pt -5.423 2.451 1.234
Pt 0.000 0.000 0.000
Ir -2.901 2.073 0.742
Ir -7.562 0.987 1.409
Ir -3.510 0.390 -1.080
Ir -8.895 2.792 0.189
Ni -1.387 1.805 -1.306
Ni -6.011 0.670 -0.604
```

Calculated values
The polymorph energy (0 for the lowest one) comes out at 39.9 kJ/mol of atoms. For the theoretical density, the calculation gives 17.318 Mg/m³. The value obtained for the final energy is -6.9793 eV per atom. The density of states at the Fermi level comes out at 12.08 states/eV/cell.



VASP calculation (GGA-PBE) on Ni6IrPt after structural relaxation.

```
32
Lattice="6.304 -0.010 0.000 -2.103 5.943 0.000 0.000 0.000 10.324" Properties=species:S:1:pos:R:3 pbc="T T T"
Ni 2.104 0.755 3.887
Ni 4.187 3.697 1.275
Ni 4.187 3.697 3.887
Ni -0.001 2.243 9.019
Ni 2.116 0.744 6.467
Ni 0.016 4.442 5.190
Ni 2.116 0.744 9.019
Ni 4.185 1.490 5.190
Ni 2.085 5.188 9.019
Ni 2.101 2.966 7.743
Ni 0.000 0.000 7.743
Ni 2.104 0.755 1.275
Ni 0.000 0.000 2.581
Ni 4.202 3.690 6.467
Ni 0.014 2.235 1.275
Ni 2.097 5.177 1.275
Ni 4.202 3.690 9.019
Ni 2.101 2.966 2.581
Ni -0.001 2.243 6.467
Ni 0.016 4.442 10.296
Ni 2.085 5.188 6.467
Ni 4.185 1.490 10.296
Ni 2.097 5.177 3.887
Ni 0.014 2.235 3.887
Ir 2.101 2.966 0.003
Ir 4.204 1.477 7.743
Ir 2.101 2.966 5.159
Ir -0.003 4.456 7.743
Pt -0.009 4.460 2.581
Pt 0.000 0.000 5.164
Pt 0.000 0.000 10.322
Pt 4.210 1.473 2.581
```

Calculated values
For the theoretical density, the calculation gives 12.707 Mg/m³. The value obtained for the final energy is -6.2144 eV per atom. The density of states at the Fermi level comes out at 55.14 states/eV/cell.